The following is a PBE calculation of a geometry-optimized YTl2Ni structure, from Alexandria via LeMat-Bulk.

Cell lengths 6.025, 6.025, 6.025 Å; angles 144.40, 131.86, 61.29 degrees
Fractional coordinates of all 4 atoms:
Y1 0.545 0.545 0.000
Tl1 0.956 0.956 0.000
Ni1 0.750 0.250 0.500
Tl2 0.249 0.749 0.500

Computed properties:
Fermi-level density of states ... 3.26 states/eV/f.u.
Formation energy from the elements ... -0.1 eV/f.u.